First-principles (meta-GGA SCAN) data for Cu2SiCI at its PBEsol-relaxed geometry, as listed in Alexandria.

Unit cell a=4.7940 b=4.7940 c=4.1895 alpha=90.00 beta=90.00 gamma=90.00
Space group P4/mmm (No. 123)
Unique sites:
1 Cu 0.0000 0.5000 0.0000 (multiplicity 2)
2 Si 0.0000 0.0000 0.5000 (multiplicity 1)
3 C 0.5000 0.5000 0.5000 (multiplicity 1)
4 I 0.5000 0.5000 0.0000 (multiplicity 1)

Summary:
Uncorrected formation energy (eV per atom): 2.287

***

First-principles (meta-GGA SCAN) data for CuTe2CI at its PBEsol-relaxed geometry, as listed in Alexandria.

Unit cell a=5.0450 b=5.0450 c=5.1384 alpha=90.00 beta=90.00 gamma=90.00
Space group P4/mmm (No. 123)
Unique sites:
1 Cu 0.0000 0.0000 0.0000 (multiplicity 1)
2 Te 0.0000 0.5000 0.0000 (multiplicity 2)
3 C 0.5000 0.5000 0.5000 (multiplicity 1)
4 I 0.0000 0.0000 0.5000 (multiplicity 1)

Summary:
ΔE to the lowest computed polymorph (eV per atom): 0.329
Uncorrected formation energy (eV per atom): 1.717

***

First-principles (meta-GGA SCAN) data for CuTe2CI at its PBEsol-relaxed geometry, as listed in Alexandria.

Unit cell a=4.7755 b=4.7755 c=4.6561 alpha=90.00 beta=90.00 gamma=90.00
Space group P4/mmm (No. 123)
Unique sites:
1 Cu 0.0000 0.0000 0.0000 (multiplicity 1)
2 Te 0.0000 0.5000 0.5000 (multiplicity 2)
3 C 0.5000 0.5000 0.5000 (multiplicity 1)
4 I 0.5000 0.5000 0.0000 (multiplicity 1)

Summary:
ΔE to the lowest computed polymorph (eV per atom): 0.000
Uncorrected formation energy (eV per atom): 1.387

***

First-principles (meta-GGA SCAN) data for In2CuNiC at its PBEsol-relaxed geometry, as listed in Alexandria.

Unit cell a=4.9663 b=4.9663 c=3.4801 alpha=90.00 beta=90.00 gamma=90.00
Space group P4/mmm (No. 123)
Unique sites:
1 In 0.0000 0.5000 0.0000 (multiplicity 2)
2 Cu 0.0000 0.0000 0.5000 (multiplicity 1)
3 Ni 0.5000 0.5000 0.0000 (multiplicity 1)
4 C 0.5000 0.5000 0.5000 (multiplicity 1)

Summary:
Energy of formation from the pure elements (meV/atom): 740.9

***

First-principles (meta-GGA SCAN) data for In2CuPtC at its PBEsol-relaxed geometry, as listed in Alexandria.

Unit cell a=5.2999 b=5.2999 c=3.7425 alpha=90.00 beta=90.00 gamma=90.00
Space group P4/mmm (No. 123)
Unique sites:
1 In 0.0000 0.5000 0.0000 (multiplicity 2)
2 Cu 0.0000 0.0000 0.5000 (multiplicity 1)
3 Pt 0.5000 0.5000 0.0000 (multiplicity 1)
4 C 0.5000 0.5000 0.5000 (multiplicity 1)

Summary:
Energy of formation from the pure elements (meV/atom): 715.6

***

First-principles (meta-GGA SCAN) data for Cu3IrC at its PBEsol-relaxed geometry, as listed in Alexandria.

Unit cell a=4.5398 b=4.5398 c=4.5398 alpha=90.00 beta=90.00 gamma=90.00
Space group Pm-3m (No. 221)
Unique sites:
1 Cu 0.0000 0.0000 0.5000 (multiplicity 3)
2 Ir 0.0000 0.0000 0.0000 (multiplicity 1)
3 C 0.5000 0.5000 0.5000 (multiplicity 1)

Summary:
Energy of formation from the pure elements (meV/atom): 2502.6

***

First-principles (meta-GGA SCAN) data for CuIrC3 at its PBEsol-relaxed geometry, as listed in Alexandria.

Unit cell a=3.9421 b=3.9421 c=3.9421 alpha=90.00 beta=90.00 gamma=90.00
Space group Pm-3m (No. 221)
Unique sites:
1 Cu 0.0000 0.0000 0.0000 (multiplicity 1)
2 Ir 0.5000 0.5000 0.5000 (multiplicity 1)
3 C 0.0000 0.5000 0.5000 (multiplicity 3)

Summary:
Energy of formation from the pure elements (meV/atom): 2365.8

***

First-principles (meta-GGA SCAN) data for CuIr3C at its PBEsol-relaxed geometry, as listed in Alexandria.

Unit cell a=4.3856 b=4.3856 c=4.3856 alpha=90.00 beta=90.00 gamma=90.00
Space group Pm-3m (No. 221)
Unique sites:
1 Cu 0.0000 0.0000 0.0000 (multiplicity 1)
2 Ir 0.0000 0.0000 0.5000 (multiplicity 3)
3 C 0.5000 0.5000 0.5000 (multiplicity 1)

Summary:
Energy of formation from the pure elements (meV/atom): 3201.9

***

First-principles (meta-GGA SCAN) data for K3CuC at its PBEsol-relaxed geometry, as listed in Alexandria.

Unit cell a=5.9340 b=5.9340 c=5.9340 alpha=90.00 beta=90.00 gamma=90.00
Space group Pm-3m (No. 221)
Unique sites:
1 K 0.0000 0.0000 0.5000 (multiplicity 3)
2 Cu 0.0000 0.0000 0.0000 (multiplicity 1)
3 C 0.5000 0.5000 0.5000 (multiplicity 1)

Summary:
Energy of formation from the pure elements (meV/atom): 1354.4

***

First-principles (meta-GGA SCAN) data for KCu3C at its PBEsol-relaxed geometry, as listed in Alexandria.

Unit cell a=4.7087 b=4.7087 c=4.7087 alpha=90.00 beta=90.00 gamma=90.00
Space group Pm-3m (No. 221)
Unique sites:
1 K 0.0000 0.0000 0.0000 (multiplicity 1)
2 Cu 0.0000 0.0000 0.5000 (multiplicity 3)
3 C 0.5000 0.5000 0.5000 (multiplicity 1)

Summary:
Energy of formation from the pure elements (meV/atom): 3162.5

***

First-principles (meta-GGA SCAN) data for K2CuCN at its PBEsol-relaxed geometry, as listed in Alexandria.

Unit cell a=5.9081 b=5.9081 c=2.6131 alpha=90.00 beta=90.00 gamma=90.00
Space group P4/mmm (No. 123)
Unique sites:
1 K 0.0000 0.5000 0.0000 (multiplicity 2)
2 Cu 0.0000 0.0000 0.5000 (multiplicity 1)
3 C 0.5000 0.5000 0.5000 (multiplicity 1)
4 N 0.5000 0.5000 0.0000 (multiplicity 1)

Summary:
Uncorrected formation energy (eV per atom): 0.889

***

First-principles (meta-GGA SCAN) data for K2CuPCO7 at its PBEsol-relaxed geometry, as listed in Alexandria.

Unit cell a=5.0552 b=8.1467 c=8.9903 alpha=90.00 beta=93.14 gamma=90.00
Space group P2_1/m (No. 11)
Unique sites:
1 K 0.2354 0.0242 0.2521 (multiplicity 4)
2 Cu 0.3043 0.2500 0.6370 (multiplicity 2)
3 P 0.2155 0.7500 0.5850 (multiplicity 2)
4 C 0.2374 0.2500 0.8909 (multiplicity 2)
5 O 0.0514 0.2500 0.7815 (multiplicity 2)
6 O 0.0958 0.2500 0.4639 (multiplicity 2)
7 O 0.1963 0.2500 0.0246 (multiplicity 2)
8 O 0.2688 0.5917 0.6715 (multiplicity 4)
9 O 0.3596 0.7500 0.4337 (multiplicity 2)
10 O 0.4694 0.2500 0.8320 (multiplicity 2)

Summary:
Uncorrected formation energy (eV per atom): -1.829

***

First-principles (meta-GGA SCAN) data for Rb2LaCuC at its PBEsol-relaxed geometry, as listed in Alexandria.

Unit cell a=6.8132 b=6.8132 c=3.5974 alpha=90.00 beta=90.00 gamma=90.00
Space group P4/mmm (No. 123)
Unique sites:
1 Rb 0.0000 0.5000 0.0000 (multiplicity 2)
2 La 0.0000 0.0000 0.5000 (multiplicity 1)
3 Cu 0.5000 0.5000 0.0000 (multiplicity 1)
4 C 0.5000 0.5000 0.5000 (multiplicity 1)

Summary:
Energy of formation from the pure elements (meV/atom): 1050.1

***

First-principles (meta-GGA SCAN) data for LiCuC3 at its PBEsol-relaxed geometry, as listed in Alexandria.

Unit cell a=3.5593 b=3.5593 c=3.5593 alpha=90.00 beta=90.00 gamma=90.00
Space group Pm-3m (No. 221)
Unique sites:
1 Li 0.0000 0.0000 0.0000 (multiplicity 1)
2 Cu 0.5000 0.5000 0.5000 (multiplicity 1)
3 C 0.0000 0.0000 0.5000 (multiplicity 3)

Summary:
Energy of formation from the pure elements (meV/atom): 3002.3

***

First-principles (meta-GGA SCAN) data for Li2Cu3C3O9 at its PBEsol-relaxed geometry, as listed in Alexandria.

Unit cell a=7.9997 b=6.0721 c=8.0545 alpha=90.00 beta=119.65 gamma=90.00
Space group Pm (No. 6)
Unique sites:
1 Li 0.0000 0.0000 0.0000 (multiplicity 1)
2 Li 0.0071 0.5000 0.0072 (multiplicity 1)
3 Li 0.3168 0.5000 0.7301 (multiplicity 1)
4 Li 0.5862 0.0000 0.3118 (multiplicity 1)
5 Cu 0.3032 0.2459 0.3876 (multiplicity 2)
6 Cu 0.6648 0.2558 0.0255 (multiplicity 2)
7 Cu 0.9392 0.2494 0.6351 (multiplicity 2)
8 C 0.2980 0.2492 0.0151 (multiplicity 2)
9 C 0.6319 0.0000 0.6773 (multiplicity 1)
10 C 0.6467 0.5000 0.6908 (multiplicity 1)
11 C 0.9572 0.0000 0.3397 (multiplicity 1)
12 C 0.9800 0.5000 0.3490 (multiplicity 1)
13 O 0.0261 0.0000 0.5225 (multiplicity 1)
14 O 0.0503 0.5000 0.5342 (multiplicity 1)
15 O 0.0718 0.0000 0.2687 (multiplicity 1)
16 O 0.1010 0.5000 0.2821 (multiplicity 1)
17 O 0.1088 0.2520 0.9340 (multiplicity 2)
18 O 0.3765 0.2642 0.9100 (multiplicity 2)
19 O 0.3996 0.2312 0.1976 (multiplicity 2)
20 O 0.4460 0.0000 0.5770 (multiplicity 1)
21 O 0.4602 0.5000 0.5922 (multiplicity 1)
22 O 0.7191 0.0000 0.8619 (multiplicity 1)
23 O 0.7292 0.5000 0.8779 (multiplicity 1)
24 O 0.7330 0.0000 0.5901 (multiplicity 1)
25 O 0.7507 0.5000 0.6101 (multiplicity 1)
26 O 0.7702 0.0000 0.2234 (multiplicity 1)
27 O 0.7982 0.5000 0.2359 (multiplicity 1)

Summary:
Uncorrected formation energy (eV per atom): -1.306

***

First-principles (meta-GGA SCAN) data for LiCu2C3O9 at its PBEsol-relaxed geometry, as listed in Alexandria.

Unit cell a=7.4282 b=7.4639 c=7.7194 alpha=108.92 beta=111.58 gamma=106.29
Space group P1 (No. 1)
Unique sites:
1 Li 0.0000 0.0000 0.0000 (multiplicity 1)
2 Li 0.4988 0.6080 0.2648 (multiplicity 1)
3 Cu 0.0456 0.3090 0.6926 (multiplicity 1)
4 Cu 0.0849 0.8897 0.4118 (multiplicity 1)
5 Cu 0.3786 0.7515 0.7300 (multiplicity 1)
6 Cu 0.5494 0.2208 0.3326 (multiplicity 1)
7 C 0.1332 0.6808 0.0633 (multiplicity 1)
8 C 0.2750 0.3104 0.4674 (multiplicity 1)
9 C 0.2999 0.1116 0.8520 (multiplicity 1)
10 C 0.6263 0.9955 0.5711 (multiplicity 1)
11 C 0.6758 0.9092 0.1451 (multiplicity 1)
12 C 0.8945 0.5451 0.4830 (multiplicity 1)
13 O 0.0756 0.6692 0.2014 (multiplicity 1)
14 O 0.0764 0.6986 0.5425 (multiplicity 1)
15 O 0.1029 0.7959 0.9795 (multiplicity 1)
16 O 0.1263 0.1187 0.3306 (multiplicity 1)
17 O 0.1536 0.1050 0.6805 (multiplicity 1)
18 O 0.2234 0.5594 0.0197 (multiplicity 1)
19 O 0.2498 0.4363 0.6113 (multiplicity 1)
20 O 0.2956 0.1847 0.0214 (multiplicity 1)
21 O 0.4295 0.0434 0.8184 (multiplicity 1)
22 O 0.4509 0.3930 0.4685 (multiplicity 1)
23 O 0.4913 0.0268 0.4320 (multiplicity 1)
24 O 0.5455 0.8106 0.5531 (multiplicity 1)
25 O 0.6482 0.8076 0.9566 (multiplicity 1)
26 O 0.6510 0.0799 0.1784 (multiplicity 1)
27 O 0.7167 0.4937 0.3241 (multiplicity 1)
28 O 0.7324 0.8476 0.2815 (multiplicity 1)
29 O 0.8208 0.1336 0.7202 (multiplicity 1)
30 O 0.8822 0.4370 0.5831 (multiplicity 1)

Summary:
Uncorrected formation energy (eV per atom): -1.230

***

First-principles (meta-GGA SCAN) data for LiCu2C4O10 at its PBEsol-relaxed geometry, as listed in Alexandria.

Unit cell a=10.1538 b=9.3424 c=9.9628 alpha=90.00 beta=114.34 gamma=90.00
Space group Cc (No. 9)
Unique sites:
1 Li 0.0000 0.1788 0.0000 (multiplicity 4)
2 Cu 0.2806 0.2478 0.6343 (multiplicity 4)
3 Cu 0.2913 0.3408 0.1297 (multiplicity 4)
4 C 0.0116 0.0025 0.2578 (multiplicity 4)
5 C 0.0751 0.4928 0.9970 (multiplicity 4)
6 C 0.2118 0.1679 0.3409 (multiplicity 4)
7 C 0.3853 0.1728 0.9383 (multiplicity 4)
8 O 0.0922 0.3623 0.9709 (multiplicity 4)
9 O 0.1275 0.0672 0.3707 (multiplicity 4)
10 O 0.1714 0.4405 0.6012 (multiplicity 4)
11 O 0.1978 0.1892 0.2128 (multiplicity 4)
12 O 0.3007 0.2294 0.4567 (multiplicity 4)
13 O 0.3042 0.2445 0.8283 (multiplicity 4)
14 O 0.4053 0.1899 0.0689 (multiplicity 4)
15 O 0.4513 0.0550 0.9006 (multiplicity 4)
16 O 0.4603 0.4000 0.3054 (multiplicity 4)
17 O 0.4625 0.4552 0.6284 (multiplicity 4)

Summary:
Uncorrected formation energy (eV per atom): -1.248

***

First-principles (meta-GGA SCAN) data for LiCu2C2O7 at its PBEsol-relaxed geometry, as listed in Alexandria.

Unit cell a=4.7346 b=4.7363 c=15.1009 alpha=89.98 beta=89.97 gamma=60.03
Space group P-1 (No. 2)
Unique sites:
1 Li 0.0000 0.0000 0.0000 (multiplicity 1)
2 Li 0.0000 0.0000 0.5000 (multiplicity 1)
3 Cu 0.3337 0.3325 0.1346 (multiplicity 2)
4 Cu 0.3337 0.3326 0.3652 (multiplicity 2)
5 C 0.3328 0.3339 0.5854 (multiplicity 2)
6 C 0.3332 0.3338 0.9148 (multiplicity 2)
7 O 0.0713 0.3137 0.5848 (multiplicity 2)
8 O 0.0714 0.6151 0.9150 (multiplicity 2)
9 O 0.3137 0.0716 0.9153 (multiplicity 2)
10 O 0.3144 0.6148 0.5848 (multiplicity 2)
11 O 0.3322 0.3315 0.2501 (multiplicity 2)
12 O 0.3850 0.6855 0.0848 (multiplicity 2)
13 O 0.3855 0.9283 0.4151 (multiplicity 2)

Summary:
Uncorrected formation energy (eV per atom): -1.191

***

First-principles (meta-GGA SCAN) data for LiCu3C3O9 at its PBEsol-relaxed geometry, as listed in Alexandria.

Unit cell a=7.9146 b=6.0133 c=7.9514 alpha=90.00 beta=117.98 gamma=90.00
Space group Pm (No. 6)
Unique sites:
1 Li 0.0000 0.0000 0.0000 (multiplicity 1)
2 Li 0.3495 0.5000 0.7390 (multiplicity 1)
3 Cu 0.3363 0.2484 0.3872 (multiplicity 2)
4 Cu 0.6628 0.2846 0.0771 (multiplicity 2)
5 Cu 0.9526 0.2422 0.6401 (multiplicity 2)
6 C 0.0221 0.5000 0.3770 (multiplicity 1)
7 C 0.3096 0.2453 0.0092 (multiplicity 2)
8 C 0.6528 0.0000 0.6749 (multiplicity 1)
9 C 0.6755 0.5000 0.7192 (multiplicity 1)
10 C 0.9805 0.0000 0.3404 (multiplicity 1)
11 O 0.0504 0.0000 0.5257 (multiplicity 1)
12 O 0.0837 0.5000 0.5619 (multiplicity 1)
13 O 0.1002 0.0000 0.2718 (multiplicity 1)
14 O 0.1273 0.2321 0.9314 (multiplicity 2)
15 O 0.1399 0.5000 0.3071 (multiplicity 1)
16 O 0.3962 0.2536 0.9040 (multiplicity 2)
17 O 0.4183 0.2510 0.1904 (multiplicity 2)
18 O 0.4668 0.0000 0.5620 (multiplicity 1)
19 O 0.4918 0.5000 0.6012 (multiplicity 1)
20 O 0.7228 0.0000 0.8528 (multiplicity 1)
21 O 0.7371 0.5000 0.8993 (multiplicity 1)
22 O 0.7600 0.0000 0.5891 (multiplicity 1)
23 O 0.7927 0.5000 0.6462 (multiplicity 1)
24 O 0.7977 0.0000 0.2275 (multiplicity 1)
25 O 0.8391 0.5000 0.2693 (multiplicity 1)

Summary:
Uncorrected formation energy (eV per atom): -1.183

***

V values, unit Å³ per atom, following the record order: 19.26, 26.16, 21.24, 17.17, 21.02, 18.71, 12.25, 16.87, 41.79, 20.88, 18.24, 15.40, 33.40, 9.02, 10.00, 11.18, 12.66, 12.22, 10.44.